# 1
The following is a PBE calculation of an optimized crystal structure of Sm4Dy2Y3, from Alexandria via LeMat-Bulk.

POSCAR file:
```
Sm4Dy2Y3
1.0
6.562 2.203 1.577
3.328 11.423 2.145
3.328 5.711 10.122
Sm Dy Y
8 4 6
Direct
0.530 0.150 0.820
0.470 0.850 0.180
0.847 0.179 0.474
0.153 0.821 0.526
0.030 0.820 0.150
0.347 0.474 0.179
0.970 0.180 0.850
0.653 0.526 0.821
0.180 0.473 0.847
0.320 0.153 0.527
0.820 0.527 0.153
0.680 0.847 0.473
0.411 0.170 0.169
0.250 0.500 0.500
0.089 0.831 0.830
0.750 0.500 0.500
0.589 0.830 0.831
0.911 0.169 0.170
```

Results
DOS at the Fermi energy	12.95	states/eV/f.u.
relative energy among the computed polymorphs	0.25	eV per formula unit
mass density	6.72	Mg/m³
energy of formation from the pure elements	0.046	eV/atom


# 2
The following is a PBE calculation of an optimized crystal structure of ScTaIr2, from Alexandria via LeMat-Bulk.

POSCAR file:
```
ScTaIr2
1.0
-3.957 -1.739 8.231
-1.628 -3.513 8.453
-1.386 -0.676 9.168
Ta Sc Ir
1 1 2
Direct
0.744 0.744 0.744
0.506 0.506 0.506
0.249 0.249 0.249
0.001 0.001 0.001
```

Results
DOS at the Fermi energy	4.41	states/eV/f.u.
mass density	14.85	Mg/m³
energy of formation from the pure elements	-0.073	eV/atom


Question: energy of formation from the pure elements of number 2 (ScTaIr2)?
Answer: -0.073 eV/atom


Question: Among the records above, which one has the highest DOS at the Fermi energy?
Answer: Sm4Dy2Y3


Question: The highest mass density belongs to which entry?
Answer: ScTaIr2